# PBE TiPtAu, relaxed
# Raw total energy   -0.237 hartree per atom
# Energy relative to the lowest polymorph listed for this composition   0.00 eV/f.u.
# Calculated formation energy   -707.8 meV per atom
data_TiPtAu
_space_group_name_H-M_alt 'I 4 m m'
_space_group_IT_number 107
_space_group_name_Hall 'I 4 -2'
_cell_length_a 3.381
_cell_length_b 3.381
_cell_length_c 8.668
_cell_angle_alpha 90.00
_cell_angle_beta 90.00
_cell_angle_gamma 90.00
loop_
_atom_site_label
_atom_site_type_symbol
_atom_site_fract_x
_atom_site_fract_y
_atom_site_fract_z
Ti1 Ti 0.000 0.000 0.000
Pt1 Pt 0.000 0.000 0.644
Au1 Au 0.000 0.000 0.326